Entry 1:
# RbNaGaAg2

RbNaGaAg2 after structural relaxation (PBE-GGA, Alexandria via LeMat-Bulk).

Properties
Energy of formation ... 0.28 eV per formula unit
Crystal system ... tetragonal
DFT total energy ... -2.15 eV per atom

abc: 5.1510 5.1510 5.6256
angles: 90.00 90.00 90.00
Last column: nearest neighbours and their distance in Å.
Space group P4/mmm (No. 123)
Unique sites:
Rb1 0.0000 0.0000 0.0000  4 Na 3.64, 8 Ag 3.81
Na1 0.5000 0.5000 0.0000  2 Ga 2.81
Ga1 0.5000 0.5000 0.5000  4 Ag 2.58, 2 Na 2.81
Ag1 0.0000 0.5000 0.5000  2 Ga 2.58

Entry 2:
# RbNa2GaAg

RbNa2GaAg after structural relaxation (PBE-GGA, Alexandria via LeMat-Bulk).

Properties
Energy of formation ... 0.23 eV per formula unit
Crystal system ... tetragonal
DFT total energy ... -1.85 eV per atom

abc: 5.8578 5.8578 5.0614
angles: 90.00 90.00 90.00
Last column: nearest neighbours and their distance in Å.
Space group P4/mmm (No. 123)
Unique sites:
Rb1 0.0000 0.0000 0.0000  8 Na 3.87, 4 Ag 4.14
Na1 0.0000 0.5000 0.5000  2 Ga 2.93
Ga1 0.5000 0.5000 0.5000  2 Ag 2.53
Ag1 0.5000 0.5000 0.0000  2 Ga 2.53

Entry 3:
# RbNa2GaAg

RbNa2GaAg after structural relaxation (PBE-GGA, Alexandria via LeMat-Bulk).

Properties
Energy of formation ... 0.19 eV per formula unit
Crystal system ... tetragonal
DFT total energy ... -1.86 eV per atom

abc: 5.8573 5.8573 5.0118
angles: 90.00 90.00 90.00
Last column: nearest neighbours and their distance in Å.
Space group P4/mmm (No. 123)
Unique sites:
Rb1 0.0000 0.0000 0.0000  8 Na 3.85, 4 Ga 4.14
Na1 0.0000 0.5000 0.5000  2 Ag 2.93
Ga1 0.5000 0.5000 0.0000  2 Ag 2.51
Ag1 0.5000 0.5000 0.5000  2 Ga 2.51

Entry 4:
# RbNaGa2Ag

RbNaGa2Ag after structural relaxation (PBE-GGA, Alexandria via LeMat-Bulk).

Properties
Energy of formation ... 4.40 eV per formula unit
Crystal system ... tetragonal
DFT total energy ... -1.36 eV per atom

abc: 6.1384 6.1384 5.9311
angles: 90.00 90.00 90.00
Last column: nearest neighbours and their distance in Å.
Space group P4/mmm (No. 123)
Unique sites:
Rb1 0.0000 0.0000 0.0000  2 Ag 2.97, 4 Ga 3.07
Na1 0.5000 0.5000 0.5000  8 Ga 4.27, 4 Ag 4.34
Ga1 0.0000 0.5000 0.0000  2 Rb 3.07
Ag1 0.0000 0.0000 0.5000  2 Rb 2.97

Which value of DFT total energy does entry 4 give?
-1.36 eV per atom

Which formula does entry 3 have?
RbNa2GaAg